Density functional theory data (PBE) for an optimized crystal structure of InSbRh2.

Lattice parameters (Å, degrees): 4.6501 4.6501 3.2332 90.00 90.00 90.00
Last column: nearest neighbours and their distance in Å.
Sites, in units of the cell vectors:
In: 0.0000 0.0000 0.0000  8 Rh 2.83
Sb: 0.5000 0.5000 0.0000  8 Rh 2.83
Rh: 0.0000 0.5000 0.5000  4 Sb 2.83, 4 In 2.83
Rh: 0.5000 0.0000 0.5000  4 Sb 2.83, 4 In 2.83

Summary:
**VASP energy**: -5.662 eV/atom
**Space group**: No. 123
**Size of the total moment**: 0.0 μB/cell
**Formation energy (no corrections)**: -1.083 eV per formula unit

***

Density functional theory data (PBE) for an optimized crystal structure of Pm4InHgN.

Lattice parameters (Å, degrees): 8.4460 8.4460 7.0826 90.00 90.00 130.43
Last column: nearest neighbours and their distance in Å.
Sites, in units of the cell vectors:
Pm: 0.0000 0.5000 0.0000  2 N 2.50
Pm: 0.0000 0.5000 0.5000  2 N 2.50
Pm: 0.0805 0.9195 0.7500  1 N 2.61
Pm: 0.4132 0.5868 0.7500  1 N 2.49
Pm: 0.5000 0.0000 0.0000  2 N 2.50
Pm: 0.5000 0.0000 0.5000  2 N 2.50
Pm: 0.5868 0.4132 0.2500  1 N 2.49
Pm: 0.9195 0.0805 0.2500  1 N 2.61
In: 0.3814 0.6186 0.2500  5 Pm 3.15-3.21
In: 0.6186 0.3814 0.7500  5 Pm 3.15-3.21
Hg: 0.1196 0.8804 0.2500  5 Pm 3.07-3.20
Hg: 0.8804 0.1196 0.7500  5 Pm 3.07-3.20
N: 0.2506 0.7494 0.7500  6 Pm 2.49-2.61
N: 0.7494 0.2506 0.2500  6 Pm 2.49-2.61

Summary:
**VASP energy**: -4.997 eV/atom
**Space group**: No. 63
**Size of the total moment**: 0.0 μB/cell
**Formation energy (no corrections)**: -4.608 eV per formula unit

***

Density functional theory data (PBE) for an optimized crystal structure of La3PmSm.

Lattice parameters (Å, degrees): 5.7767 5.7767 12.2165 90.00 90.00 116.61
Last column: nearest neighbours and their distance in Å.
Sites, in units of the cell vectors:
La: 0.0484 0.9516 0.7500  2 Sm 3.09, 3 Pm 3.38-3.43
La: 0.3524 0.6476 0.5995  3 La 3.51-3.79, 3 Sm 3.58-3.67, 3 Pm 3.85-3.87
La: 0.3524 0.6476 0.9005  3 La 3.51-3.79, 3 Sm 3.58-3.67, 3 Pm 3.85-3.87
La: 0.6476 0.3524 0.0995  3 La 3.51-3.79, 3 Sm 3.58-3.67, 3 Pm 3.85-3.87
La: 0.6476 0.3524 0.4005  3 La 3.51-3.79, 3 Sm 3.58-3.67, 3 Pm 3.85-3.87
La: 0.9516 0.0484 0.2500  2 Sm 3.09, 3 Pm 3.38-3.43
Pm: 0.3006 0.6994 0.2500  3 La 3.38-3.43
Pm: 0.6994 0.3006 0.7500  3 La 3.38-3.43
Sm: 0.0000 0.0000 0.0000  2 La 3.09
Sm: 0.0000 0.0000 0.5000  2 La 3.09

Summary:
**VASP energy**: -4.680 eV/atom
**Energy above the most stable polymorph in this dataset**: 0.000 eV per atom
**Energy of formation**: 0.171 eV per atom
**Space group**: No. 63
**Size of the total moment**: 0.0 μB/cell

***

Density functional theory data (PBE) for an optimized crystal structure of InTe2AuI.

Lattice parameters (Å, degrees): 5.5084 5.5084 5.7687 90.00 90.00 90.00
Last column: nearest neighbours and their distance in Å.
Sites, in units of the cell vectors:
In: 0.0000 0.0000 0.0000  4 I 3.90, 8 Te 3.99
Te: 0.0000 0.5000 0.5000  2 Au 2.75
Te: 0.5000 0.0000 0.5000  2 Au 2.75
Au: 0.5000 0.5000 0.5000  4 Te 2.75, 2 I 2.88
I: 0.5000 0.5000 0.0000  2 Au 2.88

Summary:
**VASP energy**: -2.592 eV/atom
**Energy above the most stable polymorph in this dataset**: 0.000 eV per atom
**Space group**: No. 123
**Size of the total moment**: 0.0 μB/cell
**Formation energy (no corrections)**: 0.889 eV per formula unit

***

Density functional theory data (PBE) for an optimized crystal structure of Ba3Mg4Zn4.

Lattice parameters (Å, degrees): 9.3962 9.3962 9.3962 151.18 126.75 61.68
Last column: nearest neighbours and their distance in Å.
Sites, in units of the cell vectors:
Ba: 0.0000 0.0000 0.0000  6 Zn 3.52-3.61
Ba: 0.3792 0.8792 0.5000  6 Zn 3.43, 6 Mg 3.61-3.64
Ba: 0.6208 0.1208 0.5000  6 Zn 3.43, 6 Mg 3.61-3.64
Mg: 0.0099 0.3221 0.6878  4 Zn 2.92-3.07, 1 Mg 3.16
Mg: 0.3657 0.6779 0.6878  4 Zn 2.92-3.07, 1 Mg 3.16
Mg: 0.6343 0.3221 0.3122  4 Zn 2.92-3.07, 1 Mg 3.16
Mg: 0.9901 0.6779 0.3122  4 Zn 2.92-3.07, 1 Mg 3.16
Zn: 0.2236 0.2236 0.0000  6 Mg 2.92-3.07
Zn: 0.3130 0.5000 0.8130  2 Mg 3.06, 1 Zn 3.15
Zn: 0.6870 0.5000 0.1870  2 Mg 3.06, 1 Zn 3.15
Zn: 0.7764 0.7764 0.0000  6 Mg 2.92-3.07

Summary:
**VASP energy**: -1.686 eV/atom
**Energy above the most stable polymorph in this dataset**: 0.000 eV per atom
**Energy of formation**: -0.118 eV per atom
**Space group**: No. 71
**Size of the total moment**: 0.0 μB/cell

***

Density functional theory data (PBE) for an optimized crystal structure of LaZnRu.

Lattice parameters (Å, degrees): 4.3858 4.3858 3.9596 90.00 90.00 120.00
Last column: nearest neighbours and their distance in Å.
Sites, in units of the cell vectors:
La: 0.0000 0.0000 0.0000  6 Zn 3.21, 6 Ru 3.21
Zn: 0.6667 0.3333 0.5000  3 Ru 2.53
Ru: 0.3333 0.6667 0.5000  3 Zn 2.53

Summary:
**VASP energy**: -5.348 eV/atom
**Energy of formation**: -0.189 eV per atom
**Space group**: No. 187
**Size of the total moment**: 0.0 μB/cell